# SCAN GeNO2F, PBEsol geometry
# DOS(E_F) ... 2.95 states/eV per cell
# Calculated density ... 4.5 g cm⁻³
# Total magnetic moment ... 2.00 μB/cell
# Formation energy from raw total energies ... -64 meV/atom
data_GeNO2F
_space_group_name_H-M_alt 'P 4/m m m'
_space_group_IT_number 123
_space_group_name_Hall '-P 4 2'
_cell_length_a 3.6455
_cell_length_b 3.6455
_cell_length_c 3.8333
_cell_angle_alpha 90.00
_cell_angle_beta 90.00
_cell_angle_gamma 90.00
loop_
_atom_site_label
_atom_site_fract_x
_atom_site_fract_y
_atom_site_fract_z
Ge1 0.0000 0.0000 0.0000
N1 0.5000 0.5000 0.5000
O1 0.0000 0.5000 0.0000
F1 0.0000 0.0000 0.5000

=====

# SCAN InHgRu2, PBEsol geometry
# Energy relative to the lowest polymorph listed for this composition ... 18.9 meV/atom
# DOS(E_F) ... 2.56 states/eV per cell
# Calculated density ... 13.1 g cm⁻³
# ΔH_f (0 K) ... 0.46 eV per atom
# Total magnetic moment ... 1.10 μB/cell
data_InHgRu2
_space_group_name_H-M_alt 'P 1 2/m 1'
_space_group_IT_number 10
_space_group_name_Hall '-P 2y'
_cell_length_a 4.6681
_cell_length_b 2.9674
_cell_length_c 5.0697
_cell_angle_alpha 90.00
_cell_angle_beta 110.45
_cell_angle_gamma 90.00
loop_
_atom_site_label
_atom_site_fract_x
_atom_site_fract_y
_atom_site_fract_z
In1 0.0000 0.0000 0.0000
Hg1 0.0000 0.5000 0.5000
Ru1 0.5000 0.0000 0.5000
Ru2 0.5000 0.5000 0.0000

=====

# SCAN Rb2NaTiS, PBEsol geometry
# Energy relative to the lowest polymorph listed for this composition ... 0.0 meV/atom
# DOS(E_F) ... 2.68 states/eV per cell
# Calculated density ... 2.0 g cm⁻³
# Total magnetic moment ... 2.56 μB/cell
# Formation energy from raw total energies ... -83 meV/atom
data_Rb2NaTiS
_space_group_name_H-M_alt 'P 4/m m m'
_space_group_IT_number 123
_space_group_name_Hall '-P 4 2'
_cell_length_a 7.1015
_cell_length_b 7.1015
_cell_length_c 4.5756
_cell_angle_alpha 90.00
_cell_angle_beta 90.00
_cell_angle_gamma 90.00
loop_
_atom_site_label
_atom_site_fract_x
_atom_site_fract_y
_atom_site_fract_z
Rb1 0.0000 0.5000 0.0000
Na1 0.0000 0.0000 0.5000
Ti1 0.5000 0.5000 0.0000
S1 0.5000 0.5000 0.5000

=====

# SCAN LaSnNO2, PBEsol geometry
# DOS(E_F) ... 0.00 states/eV per cell
# Calculated density ... 7.5 g cm⁻³
# Total magnetic moment ... 0.00 μB/cell
# Formation energy from raw total energies ... -1864 meV/atom
data_LaSnNO2
_space_group_name_H-M_alt 'P 4/m m m'
_space_group_IT_number 123
_space_group_name_Hall '-P 4 2'
_cell_length_a 4.0603
_cell_length_b 4.0603
_cell_length_c 4.1013
_cell_angle_alpha 90.00
_cell_angle_beta 90.00
_cell_angle_gamma 90.00
loop_
_atom_site_label
_atom_site_fract_x
_atom_site_fract_y
_atom_site_fract_z
La1 0.0000 0.0000 0.0000
Sn1 0.5000 0.5000 0.5000
N1 0.5000 0.5000 0.0000
O1 0.0000 0.5000 0.5000

=====

# SCAN La3MgPt, PBEsol geometry
# DOS(E_F) ... 6.50 states/eV per cell
# Calculated density ... 6.2 g cm⁻³
# ΔH_f (0 K) ... 0.71 eV per atom
# Total magnetic moment ... 0.00 μB/cell
data_La3MgPt
_space_group_name_H-M_alt 'P m -3 m'
_space_group_IT_number 221
_space_group_name_Hall '-P 4 2 3'
_cell_length_a 5.5531
_cell_length_b 5.5531
_cell_length_c 5.5531
_cell_angle_alpha 90.00
_cell_angle_beta 90.00
_cell_angle_gamma 90.00
loop_
_atom_site_label
_atom_site_fract_x
_atom_site_fract_y
_atom_site_fract_z
La1 0.0000 0.0000 0.5000
Mg1 0.0000 0.0000 0.0000
Pt1 0.5000 0.5000 0.5000

=====

# SCAN Be2TeS, PBEsol geometry
# DOS(E_F) ... 0.00 states/eV per cell
# Calculated density ... 4.1 g cm⁻³
# Total magnetic moment ... 0.00 μB/cell
# Formation energy from raw total energies ... -773 meV/atom
data_Be2TeS
_space_group_name_H-M_alt 'I -4 2 d'
_space_group_IT_number 122
_space_group_name_Hall 'I -4 2bw'
_cell_length_a 5.2283
_cell_length_b 5.2283
_cell_length_c 10.4077
_cell_angle_alpha 90.00
_cell_angle_beta 90.00
_cell_angle_gamma 90.00
loop_
_atom_site_label
_atom_site_fract_x
_atom_site_fract_y
_atom_site_fract_z
Be1 0.2019 0.2500 0.1250
Te1 0.0000 0.0000 0.5000
S1 0.0000 0.0000 0.0000